Density functional theory data (PBE-GGA) for a relaxed CsSr crystal.

Lattice parameters (Å, degrees): 9.278 9.278 13.530 90.00 90.00 90.00
Positions (direct):
Cs  0.000  0.000  0.000
Cs  0.000  0.500  0.000
Cs  0.250  0.250  0.750
Cs  0.250  0.750  0.250
Cs  0.500  0.000  0.500
Cs  0.500  0.500  0.500
Cs  0.750  0.250  0.750
Cs  0.750  0.750  0.250
Sr  0.000  0.000  0.500
Sr  0.000  0.500  0.500
Sr  0.250  0.250  0.250
Sr  0.250  0.750  0.750
Sr  0.500  0.000  0.000
Sr  0.500  0.500  0.000
Sr  0.750  0.250  0.250
Sr  0.750  0.750  0.750

Properties
ΔE_f ... 0.179 eV/atom
Size of the total moment ... 0.00 μB/f.u.